Density functional theory data (PBE-GGA) for a geometry-optimized AsIrBr2 structure. Values from VASP.

- V (Å³/cell) = 77.7
- raw formation energy (eV per atom) = 1.087
- N(E_F) (states/eV/cell) = 4.32
- symmetry = Fm-3m, No. 225

```
&SYSTEM
  ibrav = 0, nat = 4, ntyp = 3
/
ATOMIC_SPECIES
Ir 192.22 Ir.upf
Br 79.90 Br.upf
As 74.92 As.upf
ATOMIC_POSITIONS angstrom
Ir -2.430 -5.080 1.642
Br -1.215 -2.540 0.821
As 0.000 0.000 0.000
Br -3.644 -7.621 2.462
CELL_PARAMETERS angstrom
-1.658 -4.220 -1.542
0.579 -3.925 2.683
-3.780 -2.015 2.142
```